# Tm4ZrIr5 PBE relaxed
# Final energy, eV per atom: -7.970
# ΔE_f, eV/atom: -0.896
data_Tm4ZrIr5
_chemical_formula_sum 'Tm4 Zr1 Ir5'
_symmetry_space_group_name_H-M 'P 4/m m m'
_symmetry_Int_Tables_number 123
_symmetry_space_group_name_Hall '-P 4 2'
_cell_length_a 3.3192
_cell_length_b 3.3192
_cell_length_c 17.3535
_cell_angle_alpha 90.00
_cell_angle_beta 90.00
_cell_angle_gamma 90.00
loop_
_atom_site_label
_atom_site_type_symbol
_atom_site_fract_x
_atom_site_fract_y
_atom_site_fract_z
_atom_site_occupancy
Tm1 Tm 0.0000 0.0000 0.1010 1
Tm2 Tm 0.0000 0.0000 0.3025 1
Zr1 Zr 0.0000 0.0000 0.5000 1
Ir1 Ir 0.5000 0.5000 0.0000 1
Ir2 Ir 0.5000 0.5000 0.2032 1
Ir3 Ir 0.5000 0.5000 0.4089 1


# KLi3C PBE relaxed
# Final energy, eV per atom: -2.812
# ΔE_f, eV/atom: 0.401
# Polymorph energy (0 for the lowest one), meV/atom: 0
data_KLi3C
_chemical_formula_sum 'K1 Li3 C1'
_symmetry_space_group_name_H-M 'P m -3 m'
_symmetry_Int_Tables_number 221
_symmetry_space_group_name_Hall '-P 4 2 3'
_cell_length_a 4.3585
_cell_length_b 4.3585
_cell_length_c 4.3585
_cell_angle_alpha 90.00
_cell_angle_beta 90.00
_cell_angle_gamma 90.00
loop_
_atom_site_label
_atom_site_type_symbol
_atom_site_fract_x
_atom_site_fract_y
_atom_site_fract_z
_atom_site_occupancy
K1 K 0.0000 0.0000 0.0000 1
Li1 Li 0.0000 0.5000 0.5000 1
C1 C 0.5000 0.5000 0.5000 1


# TcRh PBE relaxed
# Final energy, eV per atom: -8.647
# ΔE_f, eV/atom: 0.212
# Polymorph energy (0 for the lowest one), meV/atom: 387
data_TcRh
_chemical_formula_sum 'Tc2 Rh2'
_symmetry_space_group_name_H-M 'P 4/n m m'
_symmetry_Int_Tables_number 129
_cell_length_a 3.2491
_cell_length_b 3.2491
_cell_length_c 5.5406
_cell_angle_alpha 90.00
_cell_angle_beta 90.00
_cell_angle_gamma 90.00
loop_
_symmetry_equiv_pos_as_xyz
'x,y,z'
'-x,-y,-z'
'-y+1/2,x,z'
'y+1/2,-x,-z'
'-x+1/2,-y+1/2,z'
'x+1/2,y+1/2,-z'
'y,-x+1/2,z'
'-y,x+1/2,-z'
'x+1/2,-y,-z'
'-x+1/2,y,z'
'-y,-x,-z'
'y,x,z'
'-x,y+1/2,-z'
'x,-y+1/2,z'
'y+1/2,x+1/2,-z'
'-y+1/2,-x+1/2,z'
loop_
_atom_site_label
_atom_site_type_symbol
_atom_site_fract_x
_atom_site_fract_y
_atom_site_fract_z
_atom_site_occupancy
Tc1 Tc 0.2500 0.2500 0.1227 1
Rh1 Rh 0.2500 0.2500 0.6241 1


# ZrTaNi2 PBE relaxed
# Final energy, eV per atom: -7.896
# ΔE_f, eV/atom: 0.094
data_ZrTaNi2
_chemical_formula_sum 'Zr3 Ta3 Ni6'
_symmetry_space_group_name_H-M 'R -3 m'
_symmetry_Int_Tables_number 166
_symmetry_space_group_name_Hall '-R 3 2"'
_cell_length_a 3.0120
_cell_length_b 3.0120
_cell_length_c 24.7867
_cell_angle_alpha 90.00
_cell_angle_beta 90.00
_cell_angle_gamma 120.00
loop_
_atom_site_label
_atom_site_type_symbol
_atom_site_fract_x
_atom_site_fract_y
_atom_site_fract_z
_atom_site_occupancy
Zr1 Zr 0.0000 0.0000 0.0000 1
Ta1 Ta 0.0000 0.0000 0.5000 1
Ni1 Ni 0.0000 0.0000 0.2434 1


# TaMnIn2 PBE relaxed
# Final energy, eV per atom: -6.282
# ΔE_f, eV/atom: 0.342
# Polymorph energy (0 for the lowest one), meV/atom: 149
data_TaMnIn2
_chemical_formula_sum 'Ta2 Mn2 In4'
_symmetry_space_group_name_H-M 'I 4/m m m'
_symmetry_Int_Tables_number 139
_symmetry_space_group_name_Hall '-I 4 2'
_cell_length_a 4.1315
_cell_length_b 4.1315
_cell_length_c 8.9050
_cell_angle_alpha 90.00
_cell_angle_beta 90.00
_cell_angle_gamma 90.00
loop_
_atom_site_label
_atom_site_type_symbol
_atom_site_fract_x
_atom_site_fract_y
_atom_site_fract_z
_atom_site_occupancy
Ta1 Ta 0.0000 0.0000 0.0000 1
Mn1 Mn 0.0000 0.0000 0.5000 1
In1 In 0.0000 0.5000 0.2500 1


# InIrPb2 PBE relaxed
# Final energy, eV per atom: -4.657
# ΔE_f, eV/atom: 0.097
data_InIrPb2
_chemical_formula_sum 'In2 Ir2 Pb4'
_symmetry_space_group_name_H-M 'C m m m'
_symmetry_Int_Tables_number 65
_symmetry_space_group_name_Hall '-C 2 2'
_cell_length_a 5.2582
_cell_length_b 11.4705
_cell_length_c 3.8558
_cell_angle_alpha 90.00
_cell_angle_beta 90.00
_cell_angle_gamma 90.00
loop_
_atom_site_label
_atom_site_type_symbol
_atom_site_fract_x
_atom_site_fract_y
_atom_site_fract_z
_atom_site_occupancy
In1 In 0.0000 0.0000 0.0000 1
Ir1 Ir 0.0000 0.5000 0.0000 1
Pb1 Pb 0.0000 0.3296 0.5000 1


# Fe2PCl PBE relaxed
# Final energy, eV per atom: -5.255
# Formation energy from raw total energies, eV per atom: 0.79
# Polymorph energy (0 for the lowest one), meV/atom: 1093
data_Fe2PCl
_chemical_formula_sum 'Fe8 P4 Cl4'
_symmetry_space_group_name_H-M 'F -4 3 m'
_symmetry_Int_Tables_number 216
_symmetry_space_group_name_Hall 'F -4 2 3'
_cell_length_a 6.1531
_cell_length_b 6.1531
_cell_length_c 6.1531
_cell_angle_alpha 90.00
_cell_angle_beta 90.00
_cell_angle_gamma 90.00
loop_
_atom_site_label
_atom_site_type_symbol
_atom_site_fract_x
_atom_site_fract_y
_atom_site_fract_z
_atom_site_occupancy
Fe1 Fe 0.0000 0.0000 0.0000 1
Fe2 Fe 0.2500 0.2500 0.2500 1
P1 P 0.2500 0.2500 0.7500 1
Cl1 Cl 0.0000 0.0000 0.5000 1


# ScNi3Se PBE relaxed
# Final energy, eV per atom: -5.432
# Formation energy from raw total energies, eV per atom: 0.00
# Polymorph energy (0 for the lowest one), meV/atom: 0
data_ScNi3Se
_chemical_formula_sum 'Sc1 Ni3 Se1'
_symmetry_space_group_name_H-M 'P m -3 m'
_symmetry_Int_Tables_number 221
_symmetry_space_group_name_Hall '-P 4 2 3'
_cell_length_a 4.3466
_cell_length_b 4.3466
_cell_length_c 4.3466
_cell_angle_alpha 90.00
_cell_angle_beta 90.00
_cell_angle_gamma 90.00
loop_
_atom_site_label
_atom_site_type_symbol
_atom_site_fract_x
_atom_site_fract_y
_atom_site_fract_z
_atom_site_occupancy
Sc1 Sc 0.0000 0.0000 0.0000 1
Ni1 Ni 0.0000 0.5000 0.5000 1
Se1 Se 0.5000 0.5000 0.5000 1


# TmCd4Hg4 PBE relaxed
# Final energy, eV per atom: -1.155
# ΔE_f, eV/atom: -0.117
data_TmCd4Hg4
_chemical_formula_sum 'Tm2 Cd8 Hg8'
_symmetry_space_group_name_H-M 'I 4/m'
_symmetry_Int_Tables_number 87
_symmetry_space_group_name_Hall '-I 4'
_cell_length_a 10.5061
_cell_length_b 10.5061
_cell_length_c 3.8720
_cell_angle_alpha 90.00
_cell_angle_beta 90.00
_cell_angle_gamma 90.00
loop_
_atom_site_label
_atom_site_type_symbol
_atom_site_fract_x
_atom_site_fract_y
_atom_site_fract_z
_atom_site_occupancy
Tm1 Tm 0.0000 0.0000 0.0000 1
Cd1 Cd 0.0179 0.6641 0.0000 1
Hg1 Hg 0.1566 0.1749 0.5000 1


# YTmTlIr PBE relaxed
# Final energy, eV per atom: -6.168
# ΔE_f, eV/atom: -0.627
# Polymorph energy (0 for the lowest one), meV/atom: 0
data_YTmTlIr
_chemical_formula_sum 'Y1 Tm1 Tl1 Ir1'
_symmetry_space_group_name_H-M 'P 4 m m'
_symmetry_Int_Tables_number 99
_symmetry_space_group_name_Hall 'P 4 -2'
_cell_length_a 3.4535
_cell_length_b 3.4535
_cell_length_c 7.9692
_cell_angle_alpha 90.00
_cell_angle_beta 90.00
_cell_angle_gamma 90.00
loop_
_atom_site_label
_atom_site_type_symbol
_atom_site_fract_x
_atom_site_fract_y
_atom_site_fract_z
_atom_site_occupancy
Y1 Y 0.0000 0.0000 0.0000 1
Tm1 Tm 0.0000 0.0000 0.4129 1
Tl1 Tl 0.5000 0.5000 0.7032 1
Ir1 Ir 0.5000 0.5000 0.2143 1


# SrLiScHg PBE relaxed
# Final energy, eV per atom: -2.656
# ΔE_f, eV/atom: -0.099
data_SrLiScHg
_chemical_formula_sum 'Sr4 Li4 Sc4 Hg4'
_symmetry_space_group_name_H-M 'F -4 3 m'
_symmetry_Int_Tables_number 216
_symmetry_space_group_name_Hall 'F -4 2 3'
_cell_length_a 7.5114
_cell_length_b 7.5114
_cell_length_c 7.5114
_cell_angle_alpha 90.00
_cell_angle_beta 90.00
_cell_angle_gamma 90.00
loop_
_atom_site_label
_atom_site_type_symbol
_atom_site_fract_x
_atom_site_fract_y
_atom_site_fract_z
_atom_site_occupancy
Sr1 Sr 0.0000 0.0000 0.0000 1
Li1 Li 0.2500 0.2500 0.2500 1
Sc1 Sc 0.0000 0.0000 0.5000 1
Hg1 Hg 0.2500 0.2500 0.7500 1


# Cr2SiRu PBE relaxed
# Final energy, eV per atom: -8.409
# Formation energy from raw total energies, eV per atom: 0.08
data_Cr2SiRu
_chemical_formula_sum 'Cr4 Si2 Ru2'
_symmetry_space_group_name_H-M 'C m m 2'
_symmetry_Int_Tables_number 35
_symmetry_space_group_name_Hall 'C 2 -2'
_cell_length_a 2.9255
_cell_length_b 4.4310
_cell_length_c 7.8052
_cell_angle_alpha 90.00
_cell_angle_beta 90.00
_cell_angle_gamma 90.00
loop_
_atom_site_label
_atom_site_type_symbol
_atom_site_fract_x
_atom_site_fract_y
_atom_site_fract_z
_atom_site_occupancy
Cr1 Cr 0.0000 0.0000 0.0000 1
Cr2 Cr 0.0000 0.5000 0.2363 1
Si1 Si 0.0000 0.5000 0.7547 1
Ru1 Ru 0.0000 0.0000 0.5086 1


# La4MoRh PBE relaxed
# Final energy, eV per atom: -5.377
# ΔE_f, eV/atom: 0.938
data_La4MoRh
_chemical_formula_sum 'La16 Mo4 Rh4'
_symmetry_space_group_name_H-M 'F -4 3 m'
_symmetry_Int_Tables_number 216
_symmetry_space_group_name_Hall 'F -4 2 3'
_cell_length_a 8.7482
_cell_length_b 8.7482
_cell_length_c 8.7482
_cell_angle_alpha 90.00
_cell_angle_beta 90.00
_cell_angle_gamma 90.00
loop_
_atom_site_label
_atom_site_type_symbol
_atom_site_fract_x
_atom_site_fract_y
_atom_site_fract_z
_atom_site_occupancy
La1 La 0.1245 0.1245 0.3755 1
Mo1 Mo 0.0000 0.0000 0.0000 1
Rh1 Rh 0.2500 0.2500 0.7500 1


# AcPm2Dy2 PBE relaxed
# Final energy, eV per atom: -4.490
# ΔE_f, eV/atom: 0.073
# Polymorph energy (0 for the lowest one), meV/atom: 40
data_AcPm2Dy2
_chemical_formula_sum 'Ac2 Pm4 Dy4'
_symmetry_space_group_name_H-M 'P 4/m b m'
_symmetry_Int_Tables_number 127
_symmetry_space_group_name_Hall '-P 4 2ab'
_cell_length_a 9.7908
_cell_length_b 9.7908
_cell_length_c 3.7564
_cell_angle_alpha 90.00
_cell_angle_beta 90.00
_cell_angle_gamma 90.00
loop_
_atom_site_label
_atom_site_type_symbol
_atom_site_fract_x
_atom_site_fract_y
_atom_site_fract_z
_atom_site_occupancy
Ac1 Ac 0.0000 0.0000 0.0000 1
Pm1 Pm 0.1740 0.3260 0.5000 1
Dy1 Dy 0.1213 0.6213 0.0000 1


# Pm2Ho4TmMg PBE relaxed
# Final energy, eV per atom: -4.205
# ΔE_f, eV/atom: 0.029
data_Pm2Ho4TmMg
_chemical_formula_sum 'Pm2 Ho4 Tm1 Mg1'
_symmetry_space_group_name_H-M 'P 4/m m m'
_symmetry_Int_Tables_number 123
_symmetry_space_group_name_Hall '-P 4 2'
_cell_length_a 4.9591
_cell_length_b 4.9591
_cell_length_c 10.0448
_cell_angle_alpha 90.00
_cell_angle_beta 90.00
_cell_angle_gamma 90.00
loop_
_atom_site_label
_atom_site_type_symbol
_atom_site_fract_x
_atom_site_fract_y
_atom_site_fract_z
_atom_site_occupancy
Pm1 Pm 0.0000 0.0000 0.0000 1
Pm2 Pm 0.5000 0.5000 0.5000 1
Ho1 Ho 0.0000 0.5000 0.2501 1
Tm1 Tm 0.0000 0.0000 0.5000 1
Mg1 Mg 0.5000 0.5000 0.0000 1


# LaOsBr2 PBE relaxed
# Final energy, eV per atom: -5.016
# Formation energy from raw total energies, eV per atom: -0.14
# Polymorph energy (0 for the lowest one), meV/atom: 341
data_LaOsBr2
_chemical_formula_sum 'La2 Os2 Br4'
_symmetry_space_group_name_H-M 'C m m 2'
_symmetry_Int_Tables_number 35
_symmetry_space_group_name_Hall 'C 2 -2'
_cell_length_a 4.5623
_cell_length_b 5.8156
_cell_length_c 8.5341
_cell_angle_alpha 90.00
_cell_angle_beta 90.00
_cell_angle_gamma 90.00
loop_
_atom_site_label
_atom_site_type_symbol
_atom_site_fract_x
_atom_site_fract_y
_atom_site_fract_z
_atom_site_occupancy
La1 La 0.0000 0.0000 0.0000 1
Os1 Os 0.0000 0.5000 0.7714 1
Br1 Br 0.0000 0.0000 0.6479 1
Br2 Br 0.0000 0.5000 0.2416 1


# MnCr2Os2 PBE relaxed
# Final energy, eV per atom: -9.761
# ΔE_f, eV/atom: 0.414
# Polymorph energy (0 for the lowest one), meV/atom: 16
data_MnCr2Os2
_chemical_formula_sum 'Mn2 Cr4 Os4'
_symmetry_space_group_name_H-M 'P 4/m b m'
_symmetry_Int_Tables_number 127
_symmetry_space_group_name_Hall '-P 4 2ab'
_cell_length_a 7.0563
_cell_length_b 7.0563
_cell_length_c 2.7315
_cell_angle_alpha 90.00
_cell_angle_beta 90.00
_cell_angle_gamma 90.00
loop_
_atom_site_label
_atom_site_type_symbol
_atom_site_fract_x
_atom_site_fract_y
_atom_site_fract_z
_atom_site_occupancy
Mn1 Mn 0.0000 0.0000 0.0000 1
Cr1 Cr 0.1645 0.3355 0.5000 1
Os1 Os 0.1354 0.6354 0.0000 1


# NiIrW2 PBE relaxed
# Final energy, eV per atom: -10.202
# ΔE_f, eV/atom: -0.065
data_NiIrW2
_chemical_formula_sum 'Ni1 Ir1 W2'
_symmetry_space_group_name_H-M 'P 4/m m m'
_symmetry_Int_Tables_number 123
_symmetry_space_group_name_Hall '-P 4 2'
_cell_length_a 2.7429
_cell_length_b 2.7429
_cell_length_c 7.6538
_cell_angle_alpha 90.00
_cell_angle_beta 90.00
_cell_angle_gamma 90.00
loop_
_atom_site_label
_atom_site_type_symbol
_atom_site_fract_x
_atom_site_fract_y
_atom_site_fract_z
_atom_site_occupancy
Ni1 Ni 0.0000 0.0000 0.0000 1
Ir1 Ir 0.0000 0.0000 0.5000 1
W1 W 0.5000 0.5000 0.2392 1


# KFeI2 PBE relaxed
# Final energy, eV per atom: -3.423
# Formation energy from raw total energies, eV per atom: -0.26
# Polymorph energy (0 for the lowest one), meV/atom: 153
data_KFeI2
_chemical_formula_sum 'K3 Fe3 I6'
_symmetry_space_group_name_H-M 'R -3 m'
_symmetry_Int_Tables_number 166
_symmetry_space_group_name_Hall '-R 3 2"'
_cell_length_a 5.6074
_cell_length_b 5.6074
_cell_length_c 24.4464
_cell_angle_alpha 90.00
_cell_angle_beta 90.00
_cell_angle_gamma 120.00
loop_
_atom_site_label
_atom_site_type_symbol
_atom_site_fract_x
_atom_site_fract_y
_atom_site_fract_z
_atom_site_occupancy
K1 K 0.0000 0.0000 0.0000 1
Fe1 Fe 0.0000 0.0000 0.5000 1
I1 I 0.0000 0.0000 0.3979 1


# TbPmNd6Tm2 PBE relaxed
# Final energy, eV per atom: -4.578
# ΔE_f, eV/atom: 0.115
data_TbPmNd6Tm2
_chemical_formula_sum 'Tb4 Pm4 Nd24 Tm8'
_symmetry_space_group_name_H-M 'C 1 2/c 1'
_symmetry_Int_Tables_number 15
_symmetry_space_group_name_Hall '-C 2yc'
_cell_length_a 9.3008
_cell_length_b 15.2668
_cell_length_c 9.6985
_cell_angle_alpha 90.00
_cell_angle_beta 97.69
_cell_angle_gamma 90.00
loop_
_atom_site_label
_atom_site_type_symbol
_atom_site_fract_x
_atom_site_fract_y
_atom_site_fract_z
_atom_site_occupancy
Tb1 Tb 0.0000 0.0305 0.2500 1
Pm1 Pm 0.0000 0.4082 0.7500 1
Nd1 Nd 0.0644 0.1749 0.9452 1
Nd2 Nd 0.0965 0.3916 0.1190 1
Nd3 Nd 0.2123 0.2249 0.3162 1
Tm1 Tm 0.2456 0.0479 0.5475 1